Entry P
DFT (PBE) results for NdAgSnTe3 after structural relaxation.

Values from the calculation:
Space-group type ... C2/m, No. 12
Crystal system ... monoclinic

a b c (Å): 10.2098 10.2098 9.0001
angles (deg): 102.23 102.23 24.60
Fractional positions:
Nd1 0.1625 0.1625 0.0889
Nd2 0.8375 0.8375 0.9111
Ag1 0.4572 0.4572 0.7855
Ag2 0.5429 0.5429 0.2145
Sn1 0.1247 0.1247 0.5688
Sn2 0.8753 0.8753 0.4312
Te1 0.0000 0.0000 0.0000
Te2 0.3157 0.3157 0.6503
Te3 0.3272 0.3272 0.1603
Te4 0.5000 0.5000 0.5000
Te5 0.6728 0.6728 0.8397
Te6 0.6843 0.6843 0.3497

Entry Q
DFT (PBE) results for NdAgSnTe3 after structural relaxation.

Values from the calculation:
Space-group type ... Pnma, No. 62
Crystal system ... orthorhombic

a b c (Å): 11.4179 4.3813 14.7436
angles (deg): 90.00 90.00 90.00
Fractional positions:
Nd1 0.0167 0.2500 0.2426
Nd2 0.4833 0.7500 0.7426
Nd3 0.5167 0.2500 0.2574
Nd4 0.9833 0.7500 0.7574
Ag1 0.2385 0.2500 0.7254
Ag2 0.2615 0.7500 0.2254
Ag3 0.7385 0.2500 0.7746
Ag4 0.7615 0.7500 0.2746
Sn1 0.2209 0.7500 0.5159
Sn2 0.2791 0.2500 0.0159
Sn3 0.7209 0.7500 0.9841
Sn4 0.7791 0.2500 0.4841
Te1 0.0443 0.2500 0.6043
Te2 0.0826 0.7500 0.0961
Te3 0.2378 0.7500 0.8489
Te4 0.2622 0.2500 0.3489
Te5 0.4174 0.2500 0.5961
Te6 0.4557 0.7500 0.1043
Te7 0.5443 0.2500 0.8957
Te8 0.5826 0.7500 0.4039
Te9 0.7378 0.7500 0.6511
Te10 0.7622 0.2500 0.1511
Te11 0.9174 0.2500 0.9039
Te12 0.9557 0.7500 0.3957

Most stable structure: entry Q

Entry P
DFT (PBE) results for NdAgSnTe3 after structural relaxation.

Values from the calculation:
Space-group type ... Pnma, No. 62
Crystal system ... orthorhombic

a b c (Å): 9.2623 4.5791 18.0800
angles (deg): 90.00 90.00 90.00
Fractional positions:
Nd1 0.2283 0.2500 0.0356
Nd2 0.2717 0.7500 0.5356
Nd3 0.7283 0.2500 0.4644
Nd4 0.7717 0.7500 0.9644
Ag1 0.1170 0.2500 0.3674
Ag2 0.3830 0.7500 0.8674
Ag3 0.6170 0.2500 0.1326
Ag4 0.8830 0.7500 0.6326
Sn1 0.0945 0.2500 0.7524
Sn2 0.4055 0.7500 0.2524
Sn3 0.5945 0.2500 0.7476
Sn4 0.9055 0.7500 0.2476
Te1 0.0352 0.2500 0.5870
Te2 0.1114 0.7500 0.9328
Te3 0.1945 0.2500 0.2154
Te4 0.3055 0.7500 0.7154
Te5 0.3886 0.2500 0.4328
Te6 0.4648 0.7500 0.0870
Te7 0.5352 0.2500 0.9130
Te8 0.6114 0.7500 0.5672
Te9 0.6945 0.2500 0.2846
Te10 0.8055 0.7500 0.7846
Te11 0.8886 0.2500 0.0672
Te12 0.9648 0.7500 0.4130

Entry Q
DFT (PBE) results for NdAgSnTe3 after structural relaxation.

Values from the calculation:
Space-group type ... Cmcm, No. 63
Crystal system ... orthorhombic

a b c (Å): 7.7387 7.7387 11.4184
angles (deg): 90.00 90.00 147.32
Fractional positions:
Nd1 0.0000 0.0000 0.0000
Nd2 0.0000 0.0000 0.5000
Ag1 0.4737 0.5263 0.7500
Ag2 0.5263 0.4737 0.2500
Sn1 0.2304 0.7696 0.2500
Sn2 0.7696 0.2304 0.7500
Te1 0.0981 0.9019 0.7500
Te2 0.3498 0.6502 0.5633
Te3 0.3498 0.6502 0.9367
Te4 0.6502 0.3498 0.0633
Te5 0.6502 0.3498 0.4367
Te6 0.9019 0.0981 0.2500

Entry R
DFT (PBE) results for NdAgSnTe3 after structural relaxation.

Values from the calculation:
Space-group type ... Pnma, No. 62
Crystal system ... orthorhombic

a b c (Å): 12.5269 4.5395 12.7713
angles (deg): 90.00 90.00 90.00
Fractional positions:
Nd1 0.0243 0.2500 0.1897
Nd2 0.4757 0.7500 0.6897
Nd3 0.5243 0.2500 0.3103
Nd4 0.9757 0.7500 0.8103
Ag1 0.2372 0.7500 0.2923
Ag2 0.2628 0.2500 0.7923
Ag3 0.7372 0.7500 0.2077
Ag4 0.7628 0.2500 0.7077
Sn1 0.1854 0.2500 0.4861
Sn2 0.3146 0.7500 0.9861
Sn3 0.6854 0.2500 0.0139
Sn4 0.8146 0.7500 0.5139
Te1 0.0307 0.7500 0.3733
Te2 0.0980 0.2500 0.9408
Te3 0.2128 0.7500 0.6708
Te4 0.2872 0.2500 0.1708
Te5 0.4020 0.7500 0.4408
Te6 0.4693 0.2500 0.8733
Te7 0.5307 0.7500 0.1267
Te8 0.5980 0.2500 0.5592
Te9 0.7128 0.7500 0.8292
Te10 0.7872 0.2500 0.3292
Te11 0.9020 0.7500 0.0592
Te12 0.9693 0.2500 0.6267

Most stable structure: entry Q

Entry P
DFT (PBE) results for NdAgSnTe3 after structural relaxation.

Values from the calculation:
Space-group type ... P2_1/m, No. 11
Crystal system ... monoclinic

a b c (Å): 8.4180 4.3911 10.6818
angles (deg): 90.00 105.33 90.00
Fractional positions:
Nd1 0.1993 0.2500 0.1693
Nd2 0.8007 0.7500 0.8307
Ag1 0.4150 0.7500 0.4131
Ag2 0.5850 0.2500 0.5869
Sn1 0.2430 0.7500 0.7014
Sn2 0.7570 0.2500 0.2986
Te1 0.0811 0.2500 0.8586
Te2 0.2157 0.2500 0.4696
Te3 0.4652 0.7500 0.1626
Te4 0.5348 0.2500 0.8374
Te5 0.7843 0.7500 0.5304
Te6 0.9189 0.7500 0.1414

Entry Q
DFT (PBE) results for NdAgSnTe3 after structural relaxation.

Values from the calculation:
Space-group type ... Pnma, No. 62
Crystal system ... orthorhombic

a b c (Å): 14.6646 4.3734 11.8712
angles (deg): 90.00 90.00 90.00
Fractional positions:
Nd1 0.0074 0.2500 0.1766
Nd2 0.4926 0.7500 0.6766
Nd3 0.5074 0.2500 0.3234
Nd4 0.9926 0.7500 0.8234
Ag1 0.0060 0.7500 0.4134
Ag2 0.4940 0.2500 0.9134
Ag3 0.5060 0.7500 0.0866
Ag4 0.9940 0.2500 0.5866
Sn1 0.2161 0.2500 0.4444
Sn2 0.2839 0.7500 0.9444
Sn3 0.7161 0.2500 0.0556
Sn4 0.7839 0.7500 0.5556
Te1 0.1172 0.2500 0.9425
Te2 0.1242 0.7500 0.6140
Te3 0.1511 0.7500 0.2543
Te4 0.3489 0.2500 0.7543
Te5 0.3758 0.2500 0.1140
Te6 0.3828 0.7500 0.4425
Te7 0.6172 0.2500 0.5575
Te8 0.6242 0.7500 0.8860
Te9 0.6511 0.7500 0.2457
Te10 0.8489 0.2500 0.7457
Te11 0.8758 0.2500 0.3860
Te12 0.8828 0.7500 0.0575

Most stable structure: entry Q

Entry P
DFT (PBE) results for Nd2AgTe3 after structural relaxation.

Values from the calculation:
Space-group type ... P2_1/m, No. 11
Crystal system ... monoclinic

a b c (Å): 4.2759 11.3670 7.6694
angles (deg): 90.00 104.27 90.00
Fractional positions:
Nd1 0.0000 0.0000 0.0000
Nd2 0.0000 0.5000 0.0000
Nd3 0.2093 0.2500 0.4542
Nd4 0.7907 0.7500 0.5458
Ag1 0.4791 0.2500 0.0517
Ag2 0.5209 0.7500 0.9483
Te1 0.1351 0.7500 0.2111
Te2 0.3575 0.5640 0.6980
Te3 0.3575 0.9360 0.6980
Te4 0.6425 0.0640 0.3020
Te5 0.6425 0.4360 0.3020
Te6 0.8649 0.2500 0.7889

Entry Q
DFT (PBE) results for Nd2AgTe3 after structural relaxation.

Values from the calculation:
Space-group type ... Pnma, No. 62
Crystal system ... orthorhombic

a b c (Å): 9.3451 4.3460 17.6957
angles (deg): 90.00 90.00 90.00
Fractional positions:
Nd1 0.0424 0.2500 0.2156
Nd2 0.2501 0.2500 0.9725
Nd3 0.2499 0.7500 0.4725
Nd4 0.4576 0.7500 0.7156
Nd5 0.5424 0.2500 0.2844
Nd6 0.7501 0.2500 0.5275
Nd7 0.7499 0.7500 0.0275
Nd8 0.9576 0.7500 0.7844
Ag1 0.1363 0.2500 0.6366
Ag2 0.3637 0.7500 0.1366
Ag3 0.6363 0.2500 0.8634
Ag4 0.8637 0.7500 0.3634
Te1 0.0258 0.2500 0.4053
Te2 0.0869 0.7500 0.0779
Te3 0.2220 0.2500 0.7876
Te4 0.2780 0.7500 0.2876
Te5 0.4131 0.2500 0.5779
Te6 0.4742 0.7500 0.9053
Te7 0.5258 0.2500 0.0947
Te8 0.5869 0.7500 0.4221
Te9 0.7220 0.2500 0.7124
Te10 0.7780 0.7500 0.2124
Te11 0.9131 0.2500 0.9221
Te12 0.9742 0.7500 0.5947

Most stable structure: entry P

Entry P
DFT (PBE) results for NiAg2 after structural relaxation.

Values from the calculation:
Space-group type ... Fd-3m, No. 227
Crystal system ... cubic

a b c (Å): 7.9399 7.9399 7.9399
angles (deg): 60.00 60.00 60.00
Fractional positions:
Ni1 0.1250 0.1250 0.1250
Ni2 0.8750 0.8750 0.8750
Ag1 0.0000 0.0000 0.0000
Ag2 0.0000 0.0000 0.5000
Ag3 0.0000 0.5000 0.0000
Ag4 0.5000 0.0000 0.0000

Entry Q
DFT (PBE) results for NiAg2 after structural relaxation.

Values from the calculation:
Space-group type ... P4_2/mnm, No. 136
Crystal system ... tetragonal

a b c (Å): 5.5463 5.5463 3.9835
angles (deg): 90.00 90.00 90.00
Fractional positions:
Ni1 0.0000 0.0000 0.0000
Ni2 0.5000 0.5000 0.5000
Ag1 0.1883 0.1883 0.5000
Ag2 0.3117 0.6883 0.0000
Ag3 0.6883 0.3117 0.0000
Ag4 0.8117 0.8117 0.5000

Most stable structure: entry Q

Entry P
DFT (PBE) results for NpAgOs after structural relaxation.

Values from the calculation:
Space-group type ... F-43m, No. 216
Crystal system ... cubic

a b c (Å): 4.5285 4.5285 4.5285
angles (deg): 60.00 60.00 60.00
Fractional positions:
Np1 0.0000 0.0000 0.0000
Ag1 0.7500 0.7500 0.7500
Os1 0.2500 0.2500 0.2500

Entry Q
DFT (PBE) results for NpAgOs after structural relaxation.

Values from the calculation:
Space-group type ... F-43m, No. 216
Crystal system ... cubic

a b c (Å): 4.5096 4.5096 4.5096
angles (deg): 60.00 60.00 60.00
Fractional positions:
Np1 0.0000 0.0000 0.0000
Ag1 0.5000 0.5000 0.5000
Os1 0.7500 0.7500 0.7500

Most stable structure: entry Q

Entry P
DFT (PBE) results for Ag2O after structural relaxation.

Values from the calculation:
Space-group type ... P6_3/mmc, No. 194
Crystal system ... hexagonal

a b c (Å): 4.5589 4.5589 5.0662
angles (deg): 90.00 90.00 120.00
Fractional positions:
Ag1 0.0000 0.0000 0.2500
Ag2 0.0000 0.0000 0.7500
Ag3 0.3333 0.6667 0.2500
Ag4 0.6667 0.3333 0.7500
O1 0.3333 0.6667 0.7500
O2 0.6667 0.3333 0.2500

Entry Q
DFT (PBE) results for Ag2O after structural relaxation.

Values from the calculation:
Space-group type ... Fm-3m, No. 225
Crystal system ... cubic

a b c (Å): 4.0607 4.0607 4.0607
angles (deg): 60.00 60.00 60.00
Fractional positions:
Ag1 0.2500 0.2500 0.2500
Ag2 0.7500 0.7500 0.7500
O1 0.0000 0.0000 0.0000

Most stable structure: entry Q

Entry P
DFT (PBE) results for Ag2O after structural relaxation.

Values from the calculation:
Space-group type ... Pmma, No. 51
Crystal system ... orthorhombic

a b c (Å): 3.0687 3.2675 9.3801
angles (deg): 90.00 90.00 90.00
Fractional positions:
Ag1 0.2500 0.0000 0.1186
Ag2 0.2500 0.5000 0.3706
Ag3 0.7500 0.0000 0.8814
Ag4 0.7500 0.5000 0.6294
O1 0.2500 0.0000 0.6789
O2 0.7500 0.0000 0.3211

Entry Q
DFT (PBE) results for Ag2O after structural relaxation.

Values from the calculation:
Space-group type ... F-43m, No. 216
Crystal system ... cubic

a b c (Å): 4.1878 4.1878 4.1878
angles (deg): 60.00 60.00 60.00
Fractional positions:
Ag1 0.0000 0.0000 0.0000
Ag2 0.2500 0.2500 0.2500
O1 0.7500 0.7500 0.7500

Most stable structure: entry P

Entry P
DFT (PBE) results for Ag2O after structural relaxation.

Values from the calculation:
Space-group type ... Pnma, No. 62
Crystal system ... orthorhombic

a b c (Å): 7.1555 3.0677 8.0237
angles (deg): 90.00 90.00 90.00
Fractional positions:
Ag1 0.0116 0.2500 0.1951
Ag2 0.1829 0.2500 0.5281
Ag3 0.3171 0.7500 0.0281
Ag4 0.4884 0.7500 0.6951
Ag5 0.5116 0.2500 0.3049
Ag6 0.6829 0.2500 0.9719
Ag7 0.8171 0.7500 0.4719
Ag8 0.9884 0.7500 0.8049
O1 0.2495 0.2500 0.8051
O2 0.2505 0.7500 0.3051
O3 0.7495 0.2500 0.6949
O4 0.7505 0.7500 0.1949

Entry Q
DFT (PBE) results for Ag2O after structural relaxation.

Values from the calculation:
Space-group type ... Fdd2, No. 43
Crystal system ... orthorhombic

a b c (Å): 8.0020 3.8613 8.5172
angles (deg): 69.14 26.80 84.06
Fractional positions:
Ag1 0.2364 0.7637 0.3911
Ag2 0.6411 0.8589 0.4864
Ag3 0.7637 0.2364 0.6089
Ag4 0.8589 0.6411 0.0136
O1 0.2563 0.2563 0.7437
O2 0.5063 0.5063 0.9937

Entry R
DFT (PBE) results for Ag2O after structural relaxation.

Values from the calculation:
Space-group type ... Fd-3m, No. 227
Crystal system ... cubic

a b c (Å): 6.7176 6.7176 6.7176
angles (deg): 60.00 60.00 60.00
Fractional positions:
Ag1 0.0000 0.0000 0.0000
Ag2 0.0000 0.0000 0.5000
Ag3 0.0000 0.5000 0.0000
Ag4 0.5000 0.0000 0.0000
O1 0.1250 0.1250 0.1250
O2 0.8750 0.8750 0.8750

Entry S
DFT (PBE) results for Ag2O after structural relaxation.

Values from the calculation:
Space-group type ... P-3m1, No. 164
Crystal system ... trigonal

a b c (Å): 3.1474 3.1474 5.0345
angles (deg): 90.00 90.00 120.00
Fractional positions:
Ag1 0.3333 0.6667 0.2896
Ag2 0.6667 0.3333 0.7104
O1 0.0000 0.0000 0.0000

Most stable structure: entry P